Density functional theory data (GGA+U) for crystalline Mn2Tl3WO6 at its relaxed geometry.

Output
- Uncorrected energy: -6.263 eV per atom
- Volume: 189.58 Å³/cell
- SG: C2/m

a = 5.6042 Å, b = 5.6042 Å, c = 7.2155 Å
α = 97.42°, β = 97.42°, γ = 120.01°
Element x y z (fractional)
Tl  0.5000  0.5000  0.5000
O  0.6529  0.9487  0.8466
O  0.2447  0.2447  0.8460
O  0.3471  0.0513  0.1534
W  0.0000  0.0000  0.0000
Tl  0.8347  0.1653  0.5000
O  0.7553  0.7553  0.1540
Tl  0.1653  0.8347  0.5000
O  0.9487  0.6529  0.8466
Mn  0.6667  0.3333  0.0000
Mn  0.3333  0.6667  0.0000
O  0.0513  0.3471  0.1534